Density functional theory data (PBE-GGA) for TlCd2CoW after structural relaxation.

```
TlCd2CoW
1.0
5.140 0.000 0.000
0.000 4.677 0.000
0.000 0.000 5.140
Tl Co W Cd
1 1 1 2
direct
0.000 0.000 0.000
0.000 0.500 0.000
0.500 0.500 0.500
0.000 0.000 0.500
0.500 0.000 0.000
```

Calculated values
E above lowest polymorph in meV/atom: 1309
ΔE_f in meV per atom: 2163
DOS(E_F) in states/eV per cell: 9.50
Space group: P4/mmm, No. 123

=====

Density functional theory data (PBE-GGA) for Tm12CdCo6 after structural relaxation.

```
Tm12CdCo6
1.0
7.763 0.000 -2.745
-3.882 6.723 -2.745
0.000 0.000 8.234
Tm Cd Co
12 1 6
direct
0.302 0.108 0.806
0.302 0.496 0.194
0.698 0.504 0.806
0.698 0.892 0.194
0.108 0.806 0.302
0.496 0.194 0.302
0.504 0.806 0.698
0.892 0.194 0.698
0.806 0.302 0.108
0.194 0.302 0.496
0.806 0.698 0.504
0.194 0.698 0.892
0.000 0.000 0.000
0.386 0.500 0.886
0.614 0.500 0.114
0.500 0.886 0.386
0.500 0.114 0.614
0.886 0.386 0.500
0.114 0.614 0.500
```

Calculated values
ΔE_f in meV per atom: -250
DOS(E_F) in states/eV per cell: 16.08
Space group: Im-3, No. 204

=====

Density functional theory data (PBE-GGA) for Tm8Cd2Co after structural relaxation.

```
Tm8Cd2Co
1.0
-1.790 -2.584 -4.282
6.375 -0.950 -2.092
-1.642 -5.191 7.114
Tm Cd Co
8 2 1
direct
0.408 0.589 0.815
0.647 0.943 0.293
0.803 0.722 0.605
0.981 0.216 0.962
0.197 0.278 0.395
0.353 0.057 0.707
0.592 0.411 0.185
0.019 0.784 0.038
0.817 0.295 0.635
0.183 0.705 0.365
0.500 0.000 0.000
```

Calculated values
E above lowest polymorph in meV/atom: 0
ΔE_f in meV per atom: -133
DOS(E_F) in states/eV per cell: 9.19
Space group: C2/m, No. 12